Al2IrCl at its PBEsol-relaxed geometry, computed with SCAN.

abc: 4.4690 4.4690 4.4690
angles: 60.00 60.00 60.00
Fractional positions:
Ir 0.2500 0.2500 0.2500
Al 0.0000 0.0000 0.0000
Al 0.7500 0.7500 0.7500
Cl 0.5000 0.5000 0.5000

Values from the calculation:
The value obtained for the formation energy without anion corrections is 0.37 eV per atom. The offset from the most stable computed form is 1.1740 eV per atom.